Compound: CeHo5P6
Source: Alexandria via LeMat-Bulk
Functional: PBE-GGA
Structure: relaxed

The value obtained for the total energy is -6.708 eV per atom. The value obtained for the total magnetic moment is 0.022 μB per atom. The value obtained for the formation enthalpy at 0 K is -19.2 eV/f.u.

a = 6.9266 Å, b = 11.9988 Å, c = 6.9290 Å
α = 90.00°, β = 109.45°, γ = 90.00°
Space group C2/m (No. 12)
Unique sites:
Ce 0.0000 0.0000 0.0000 x2
Ho 0.0000 0.1665 0.5000 x4
Ho 0.0000 0.3334 0.0000 x4
Ho 0.0000 0.5000 0.5000 x2
P 0.2495 0.3331 0.7490 x8
P 0.2505 0.0000 0.7501 x4